Compound: ZrSbTe2
Source: Alexandria via LeMat-Bulk
Functional: PBE-GGA
Structure: optimized geometry

a b c (Å): 3.9754 4.5408 13.9324
angles (deg): 90.00 90.00 90.00
With the nearest neighbours (Å) after each atom.
Space group Immm (No. 71)
Symmetry-distinct sites (fractional):
Zr 0.0000 0.0000 0.0000 (multiplicity 2)  4 Te 3.01, 4 Sb 3.02
Sb 0.0000 0.0000 0.5000 (multiplicity 2)  4 Zr 3.02, 4 Te 3.20
Te 0.0000 0.5000 0.3379 (multiplicity 4)  2 Zr 3.01, 2 Sb 3.20

Results
total magnetization: 0.000 μB/f.u.
ΔE_f (raw): -29.9 kJ per mole of atoms

***

Compound: ZrSbTe
Source: Alexandria via LeMat-Bulk
Functional: PBE-GGA
Structure: optimized geometry

a b c (Å): 5.1083 5.1083 3.3008
angles (deg): 90.00 90.00 120.00
With the nearest neighbours (Å) after each atom.
Space group P-6m2 (No. 187)
Symmetry-distinct sites (fractional):
Zr 0.0000 0.0000 0.0000 (multiplicity 1)  3 Te 2.95, 2 Zr 3.30
Sb 0.6667 0.3333 0.5000 (multiplicity 1)  2 Sb 3.30, 6 Zr 3.38, 6 Te 3.38
Te 0.3333 0.6667 0.0000 (multiplicity 1)  3 Zr 2.95, 2 Te 3.30

Results
total magnetization: 0.000 μB/f.u.
ΔE_f (raw): -30.3 kJ per mole of atoms

***

Compound: ZrSbTe2
Source: Alexandria via LeMat-Bulk
Functional: PBE-GGA
Structure: optimized geometry

a b c (Å): 8.0988 8.0988 7.1283
angles (deg): 90.00 90.00 90.00
With the nearest neighbours (Å) after each atom.
Space group I-42d (No. 122)
Symmetry-distinct sites (fractional):
Zr 0.0000 0.0000 0.0000 (multiplicity 4)  4 Te 2.90
Sb 0.0000 0.0000 0.5000 (multiplicity 4)  4 Te 3.10
Te 0.2310 0.2500 0.1250 (multiplicity 8)  2 Zr 2.90, 2 Sb 3.10

Results
total magnetization: 0.000 μB/f.u.
ΔE_f (raw): -7.2 kJ per mole of atoms

***

Compound: ZrSbTe2
Source: Alexandria via LeMat-Bulk
Functional: PBE-GGA
Structure: optimized geometry

a b c (Å): 10.5460 3.7752 6.3415
angles (deg): 90.00 100.27 90.00
With the nearest neighbours (Å) after each atom.
Space group Cm (No. 8)
Symmetry-distinct sites (fractional):
Zr 0.0000 0.0000 0.0000 (multiplicity 2)  4 Te 2.92-2.97, 3 Sb 2.98-3.00
Sb 0.2762 0.0000 0.9542 (multiplicity 2)  3 Zr 2.98-3.00, 3 Te 3.02-3.30
Te 0.1572 0.5000 0.2995 (multiplicity 2)  2 Zr 2.97, 1 Te 3.25, 2 Sb 3.30
Te 0.4622 0.0000 0.6428 (multiplicity 2)  2 Zr 2.92, 1 Sb 3.02, 1 Te 3.25

Results
total magnetization: 0.000 μB/f.u.
ΔE_f (raw): -40.2 kJ per mole of atoms

***

Compound: ZrSbTe2
Source: Alexandria via LeMat-Bulk
Functional: PBE-GGA
Structure: optimized geometry

a b c (Å): 3.7967 3.7967 29.7279
angles (deg): 90.00 90.00 120.00
With the nearest neighbours (Å) after each atom.
Space group R-3m (No. 166, hexagonal axes)
Symmetry-distinct sites (fractional):
Zr 0.0000 0.0000 0.0000 (multiplicity 3)  6 Te 2.90
Sb 0.0000 0.0000 0.5000 (multiplicity 3)  2 Te 3.06
Te 0.0000 0.0000 0.3970 (multiplicity 6)  3 Zr 2.90, 1 Sb 3.06

Results
total magnetization: 0.000 μB/f.u.
ΔE_f (raw): -42.1 kJ per mole of atoms

***

Compound: Th6Sb5
Source: Alexandria via LeMat-Bulk
Functional: PBE-GGA
Structure: optimized geometry

a b c (Å): 7.6871 13.2670 7.7017
angles (deg): 90.00 109.79 90.00
With the nearest neighbours (Å) after each atom.
Space group C2/m (No. 12)
Symmetry-distinct sites (fractional):
Th 0.2366 0.1610 0.2368 (multiplicity 8)  5 Sb 3.14-3.16
Th 0.2378 0.0000 0.7451 (multiplicity 4)  5 Sb 3.14-3.19
Sb 0.0000 0.1776 0.5000 (multiplicity 4)  6 Th 3.16-3.18
Sb 0.0000 0.3376 0.0000 (multiplicity 4)  6 Th 3.14-3.15
Sb 0.0000 0.5000 0.5000 (multiplicity 2)  6 Th 3.16-3.19

Results
total magnetization: 0.000 μB/f.u.
ΔE_f (raw): -65.4 kJ per mole of atoms

***

Compound: Th5Sb
Source: Alexandria via LeMat-Bulk
Functional: PBE-GGA
Structure: optimized geometry

a b c (Å): 4.9280 15.5904 4.8246
angles (deg): 90.00 90.00 90.00
With the nearest neighbours (Å) after each atom.
Space group Cmmm (No. 65)
Symmetry-distinct sites (fractional):
Th 0.0000 0.0000 0.0000 (multiplicity 2)  4 Sb 3.45, 8 Th 3.49-3.58
Th 0.0000 0.1616 0.5000 (multiplicity 4)  10 Th 3.45-3.70, 2 Sb 3.52
Th 0.0000 0.3335 0.0000 (multiplicity 4)  10 Th 3.45-3.61, 2 Sb 3.54
Sb 0.0000 0.5000 0.5000 (multiplicity 2)  12 Th 3.45-3.54

Results
total magnetization: 0.000 μB/f.u.
ΔE_f (raw): -19.5 kJ per mole of atoms

***

Compound: Th2Sb5
Source: Alexandria via LeMat-Bulk
Functional: PBE-GGA
Structure: optimized geometry

a b c (Å): 4.4129 42.8440 4.4180
angles (deg): 90.00 90.00 90.00
With the nearest neighbours (Å) after each atom.
Space group Cmcm (No. 63)
Symmetry-distinct sites (fractional):
Th 0.0000 0.0969 0.2500 (multiplicity 4)  9 Sb 3.20-3.49
Th 0.0000 0.3096 0.2500 (multiplicity 4)  9 Sb 3.21-3.38
Sb 0.0000 0.0340 0.7500 (multiplicity 4)  4 Sb 3.13, 2 Th 3.49
Sb 0.0000 0.1726 0.2500 (multiplicity 4)  5 Th 3.21-3.24
Sb 0.0000 0.2500 0.7500 (multiplicity 4)  4 Sb 3.12, 4 Th 3.37-3.38
Sb 0.0000 0.3870 0.2500 (multiplicity 4)  5 Th 3.20-3.32
Sb 0.0000 0.4609 0.7500 (multiplicity 4)  4 Sb 3.13, 2 Th 3.32

Results
total magnetization: 0.000 μB/f.u.
ΔE_f (raw): -56.6 kJ per mole of atoms